Below is crystalline ScRu2W at its relaxed geometry, with properties calculated at the GGA-PBE level.

The value obtained for the uncorrected energy is -9.1374 eV per atom. The total magnetic moment comes out at 0.00 μB per formula unit.

The space group is I-42d (No. 122) and the conventional cell measures 7.0445, 7.0445 and 5.7099 Å, with angles of 90.00, 90.00 and 90.00 degrees. The distinct sites, in fractional coordinates, are Sc at (0.0000, 0.0000, 0.0000), Ru at (0.2166, 0.7500, 0.6250) and W at (0.0000, 0.0000, 0.5000).

=====

Below is crystalline ScRu2W at its relaxed geometry, with properties calculated at the GGA-PBE level.

The value obtained for the uncorrected energy is -9.3594 eV per atom. The total magnetic moment comes out at 0.00 μB per formula unit.

The space group is P4mm (No. 99) and the conventional cell measures 2.7709, 2.7709 and 8.4143 Å, with angles of 90.00, 90.00 and 90.00 degrees. The distinct sites, in fractional coordinates, are Sc at (0.0000, 0.0000, 0.0000), Ru at (0.0000, 0.0000, 0.5350), Ru at (0.5000, 0.5000, 0.7359) and W at (0.5000, 0.5000, 0.2791).

=====

Below is crystalline ScRuW4 at its relaxed geometry, with properties calculated at the GGA-PBE level.

The value obtained for the uncorrected energy is -10.9502 eV per atom. The total magnetic moment comes out at 0.00 μB per formula unit.

The space group is F-43m (No. 216) and the conventional cell measures 7.4791, 7.4791 and 7.4791 Å, with angles of 90.00, 90.00 and 90.00 degrees. The distinct sites, in fractional coordinates, are Sc at (0.0000, 0.0000, 0.0000), Ru at (0.2500, 0.2500, 0.2500) and W at (0.1259, 0.1259, 0.6259).

=====

Below is crystalline ScRu2W at its relaxed geometry, with properties calculated at the GGA-PBE level.

The value obtained for the uncorrected energy is -9.7266 eV per atom. The total magnetic moment comes out at 0.00 μB per formula unit.

The space group is P4/mmm (No. 123) and the conventional cell measures 3.0860, 3.0860 and 6.6031 Å, with angles of 90.00, 90.00 and 90.00 degrees. The distinct sites, in fractional coordinates, are Sc at (0.0000, 0.0000, 0.0000), Ru at (0.5000, 0.5000, 0.2586) and W at (0.0000, 0.0000, 0.5000).

=====

no.,DFT formation energy (meV per atom)
1,322
2,100
3,287
4,-267